Entry from Alexandria via LeMat-Bulk: crystalline DyNbS4 at its relaxed geometry (GGA-PBE).

Cell: 6.4178 6.3889 6.4376 Å, 90.00 97.25 90.00°
Closest atoms and distances in Å follow each position.
Space group P2_1/c (No. 14)
Inequivalent atoms, fractional coordinates:
Dy (0.0000, 0.0000, 0.0000)  6 S 2.66-2.98
Nb (0.5000, 0.0000, 0.5000)  6 S 2.39-2.55
S (0.1588, 0.1380, 0.3875)  1 Nb 2.39, 1 Dy 2.66
S (0.3703, 0.6627, 0.3144)  2 Nb 2.51-2.55

Results
Crystal system: monoclinic
Formation energy without anion corrections: -1.119 eV/atom
Energy: -6.316 eV/atom